# AcVAg2F8

AcVAg2F8 after structural relaxation (PBE with a Hubbard U, Alexandria).

Unit cell a=4.410 b=7.482 c=5.794 alpha=90.00 beta=93.34 gamma=90.00
Space group P2/m (No. 10)
Inequivalent atoms, fractional coordinates:
1 Ac 0.000 0.000 0.000 [1 per cell]
2 V 0.000 0.500 0.000 [1 per cell]
3 Ag 0.500 0.275 0.500 [2 per cell]
4 F 0.107 0.289 0.797 [4 per cell]
5 F 0.364 0.500 0.203 [2 per cell]
6 F 0.485 0.000 0.236 [2 per cell]

Calculated values
Energy   -5.319 eV/atom
Magnetization   2.00 μB/f.u.